(1)
Compound: La3Zn2
Source: Alexandria
Functional: meta-GGA SCAN
Structure: PBEsol geometry

Geometry as CIF:
```
data_La3Zn2
_symmetry_space_group_name_H-M 'P 1'
_symmetry_Int_Tables_number 1
_cell_length_a 5.018
_cell_length_b 5.018
_cell_length_c 6.320
_cell_angle_alpha 90.00
_cell_angle_beta 90.00
_cell_angle_gamma 120.00
loop_
_symmetry_equiv_pos_as_xyz
'x,y,z'
loop_
_atom_site_label
_atom_site_type_symbol
_atom_site_fract_x
_atom_site_fract_y
_atom_site_fract_z
La1 La 0.000 0.000 0.000
La2 La 0.333 0.667 0.383
La3 La 0.667 0.333 0.617
Zn1 Zn 0.333 0.667 0.872
Zn2 Zn 0.667 0.333 0.128
```

Computed properties:
Formation energy = -0.218 eV/atom
Symmetry = P-3m1, No. 164
Uncorrected energy = -157.437 eV/f.u.
DOS(E_F) = 4.37 states/eV/cell
Size of the total moment = 0.0 μB/f.u.

***

(2)
Compound: LaZn13
Source: Alexandria
Functional: meta-GGA SCAN
Structure: PBEsol geometry

Geometry as CIF:
```
data_LaZn13
_symmetry_space_group_name_H-M 'P 1'
_symmetry_Int_Tables_number 1
_cell_length_a 8.469
_cell_length_b 8.469
_cell_length_c 8.469
_cell_angle_alpha 60.00
_cell_angle_beta 60.00
_cell_angle_gamma 60.00
loop_
_symmetry_equiv_pos_as_xyz
'x,y,z'
loop_
_atom_site_label
_atom_site_type_symbol
_atom_site_fract_x
_atom_site_fract_y
_atom_site_fract_z
La1 La 0.250 0.250 0.250
La2 La 0.750 0.750 0.750
Zn1 Zn 0.000 0.000 0.000
Zn2 Zn 0.058 0.300 0.700
Zn3 Zn 0.058 0.700 0.942
Zn4 Zn 0.058 0.942 0.300
Zn5 Zn 0.200 0.442 0.800
Zn6 Zn 0.200 0.558 0.442
Zn7 Zn 0.200 0.800 0.558
Zn8 Zn 0.300 0.058 0.942
Zn9 Zn 0.300 0.700 0.058
Zn10 Zn 0.300 0.942 0.700
Zn11 Zn 0.442 0.200 0.558
Zn12 Zn 0.442 0.558 0.800
Zn13 Zn 0.442 0.800 0.200
Zn14 Zn 0.500 0.500 0.500
Zn15 Zn 0.558 0.200 0.800
Zn16 Zn 0.558 0.442 0.200
Zn17 Zn 0.558 0.800 0.442
Zn18 Zn 0.700 0.058 0.300
Zn19 Zn 0.700 0.300 0.942
Zn20 Zn 0.700 0.942 0.058
Zn21 Zn 0.800 0.200 0.442
Zn22 Zn 0.800 0.442 0.558
Zn23 Zn 0.800 0.558 0.200
Zn24 Zn 0.942 0.058 0.700
Zn25 Zn 0.942 0.300 0.058
Zn26 Zn 0.942 0.700 0.300
```

Computed properties:
Formation energy = -0.268 eV/atom
Symmetry = Fm-3c, No. 226
Uncorrected energy = -222.560 eV/f.u.
DOS(E_F) = 6.48 states/eV/cell
Size of the total moment = 0.0 μB/f.u.

***

(3)
Compound: La3Zn
Source: Alexandria
Functional: meta-GGA SCAN
Structure: PBEsol geometry

Geometry as CIF:
```
data_La3Zn
_symmetry_space_group_name_H-M 'P 1'
_symmetry_Int_Tables_number 1
_cell_length_a 5.361
_cell_length_b 5.361
_cell_length_c 5.361
_cell_angle_alpha 60.00
_cell_angle_beta 60.00
_cell_angle_gamma 60.00
loop_
_symmetry_equiv_pos_as_xyz
'x,y,z'
loop_
_atom_site_label
_atom_site_type_symbol
_atom_site_fract_x
_atom_site_fract_y
_atom_site_fract_z
La1 La 0.000 0.000 0.000
La2 La 0.250 0.250 0.250
La3 La 0.750 0.750 0.750
Zn1 Zn 0.500 0.500 0.500
```

Computed properties:
Formation energy = -0.005 eV/atom
Symmetry = Fm-3m, No. 225
Uncorrected energy = -142.849 eV/f.u.
DOS(E_F) = 3.43 states/eV/cell
Size of the total moment = 1.9 μB/f.u.